The following is a GGA-PBE calculation of a relaxed Pr2ZrGa3Pt4 crystal, from Alexandria.

```
data_Pr2ZrGa3Pt4
_cell_length_a 4.2440
_cell_length_b 4.2440
_cell_length_c 11.2596
_cell_angle_alpha 90.00
_cell_angle_beta 90.00
_cell_angle_gamma 90.00
_symmetry_space_group_name_H-M 'P -4 m 2'
_symmetry_Int_Tables_number 115
loop_
_symmetry_equiv_pos_as_xyz
'x,y,z'
'y,-x,-z'
'-x,-y,z'
'-y,x,-z'
'-x,y,z'
'-y,-x,-z'
'x,-y,z'
'y,x,-z'
loop_
_atom_site_label
_atom_site_fract_x
_atom_site_fract_y
_atom_site_fract_z
Pr1 0.0000 0.5000 0.2350
Zr1 0.0000 0.0000 0.5000
Ga1 0.0000 0.5000 0.8731
Ga2 0.5000 0.5000 0.5000
Pt1 0.0000 0.0000 0.0000
Pt2 0.0000 0.5000 0.6492
Pt3 0.5000 0.5000 0.0000
```

Calculated values
N(E_F) = 6.0 states/eV/f.u.
ρ = 11.16 g/cm3
V = 20.3 Å³ per atom
energy of formation = -967 meV per atom